(1)
CaGaCoC2: optimized geometry, PBE-GGA.

abc: 3.937 3.937 4.500
angles: 90.00 90.00 90.00
Last column: magnetic moment on the atom in μB.
Element x y z (fractional)
Ga (0.000, 0.000, 0.500)  0.03
C (0.500, 0.000, 0.000)  0.17
C (0.000, 0.500, 0.000)  0.17
Ca (0.500, 0.500, 0.500)  0.03
Co (0.000, 0.000, 0.000)  0.98

## Properties
The total magnetization comes out at 1.789 μB per formula unit. As for the space-group type: No. 123. As for the density of states at the Fermi level: 3.74 states/eV per cell. Its formation energy is 1.08 eV per atom. Its crystal system is tetragonal.



(2)
KH3Os: optimized geometry, PBE-GGA.

abc: 3.875 3.875 3.875
angles: 90.00 90.00 90.00
Element x y z (fractional)
K (0.000, 0.000, 0.000)
H (0.000, 0.000, 0.500)
H (0.000, 0.500, 0.000)
Os (0.500, 0.500, 0.500)
H (0.500, 0.000, 0.000)

## Properties
The total magnetization comes out at 0.000 μB per formula unit. As for the space-group type: No. 221. As for the density of states at the Fermi level: 1.87 states/eV per cell. For the excess energy over the best structure of this formula in the dataset, the calculation gives 1819 meV per atom. Its crystal system is cubic.



(3)
Cs3FePt: optimized geometry, PBE-GGA.

abc: 6.659 6.659 6.659
angles: 90.00 90.00 90.00
Last column: magnetic moment on the atom in μB.
Element x y z (fractional)
Cs (0.000, 0.500, 0.000)  -0.01
Cs (0.500, 0.000, 0.000)  -0.01
Pt (0.000, 0.000, 0.000)  0.00
Fe (0.500, 0.500, 0.500)  3.01
Cs (0.000, 0.000, 0.500)  -0.01

## Properties
The total magnetization comes out at 3.001 μB per formula unit. As for the space-group type: No. 221. As for the density of states at the Fermi level: 55.33 states/eV per cell. Its formation energy is 0.72 eV per atom. Its crystal system is cubic.



(4)
CaVRh2: optimized geometry, PBE-GGA.

abc: 3.048 3.048 7.284
angles: 90.00 90.00 90.00
Last column: magnetic moment on the atom in μB.
Element x y z (fractional)
V (0.500, 0.500, 0.000)  0.53
Rh (0.000, 0.000, 0.803)  0.02
Rh (0.000, 0.000, 0.197)  0.02
Ca (0.500, 0.500, 0.500)  0.02

## Properties
The total magnetization comes out at 0.682 μB per formula unit. As for the space-group type: No. 123. As for the density of states at the Fermi level: 3.61 states/eV per cell. Its formation energy is -0.34 eV per atom. For the excess energy over the best structure of this formula in the dataset, the calculation gives 0 meV per atom. Its crystal system is tetragonal.



(5)
CrSb2As: optimized geometry, PBE-GGA.

abc: 9.262 9.262 9.262
angles: 20.32 20.32 20.32
Last column: magnetic moment on the atom in μB.
Element x y z (fractional)
Sb (0.018, 0.018, 0.018)  -0.03
Sb (0.245, 0.245, 0.245)  0.01
Cr (0.756, 0.756, 0.756)  0.99
As (0.481, 0.481, 0.481)  -0.05

## Properties
The total magnetization comes out at 0.944 μB per formula unit. As for the space-group type: No. 160. As for the density of states at the Fermi level: 2.86 states/eV per cell. Its formation energy from raw total energies is 0.20 eV per atom. Its crystal system is trigonal.



(6)
LiTbMg: optimized geometry, PBE-GGA.

abc: 3.229 5.182 5.182
angles: 120.00 90.00 90.00
Element x y z (fractional)
Li (0.165, 0.333, 0.667)
Mg (0.168, 0.000, 0.000)
Tb (0.667, 0.667, 0.333)

## Properties
The total magnetization comes out at 0.000 μB per formula unit. As for the space-group type: No. 156. As for the density of states at the Fermi level: 2.21 states/eV per cell. Its formation energy is 0.02 eV per atom. For the excess energy over the best structure of this formula in the dataset, the calculation gives 47 meV per atom. Its crystal system is trigonal.



(7)
BRhCl2: optimized geometry, PBE-GGA.

abc: 4.524 4.524 4.524
angles: 60.00 60.00 60.00
Last column: magnetic moment on the atom in μB.
Element x y z (fractional)
Cl (0.750, 0.750, 0.750)  0.17
B (0.000, 0.000, 0.000)  0.01
Rh (0.500, 0.500, 0.500)  1.56
Cl (0.250, 0.250, 0.250)  0.17

## Properties
The total magnetization comes out at 2.000 μB per formula unit. As for the space-group type: No. 225. As for the density of states at the Fermi level: 2.91 states/eV per cell. For the excess energy over the best structure of this formula in the dataset, the calculation gives 360 meV per atom. Its formation energy from raw total energies is 1.17 eV per atom. Its crystal system is cubic.



(8)
NaC: optimized geometry, PBE-GGA.

abc: 3.918 3.686 10.846
angles: 90.00 90.29 90.00
Element x y z (fractional)
Na (0.710, 0.500, 0.660)
Na (0.208, 0.500, 0.414)
C (0.711, 0.000, 0.503)
C (0.711, 0.500, 0.003)
Na (0.710, 0.000, 0.160)
Na (0.208, 0.000, 0.914)
C (0.708, 0.000, 0.386)
C (0.708, 0.500, 0.886)

## Properties
The total magnetization comes out at 0.000 μB per formula unit. As for the space-group type: No. 8. As for the density of states at the Fermi level: 0.00 states/eV per cell. Its formation energy is 0.35 eV per atom. For the excess energy over the best structure of this formula in the dataset, the calculation gives 119 meV per atom. Its crystal system is monoclinic.



(9)
YHo4Hg: optimized geometry, PBE-GGA.

abc: 3.555 3.555 14.006
angles: 90.00 90.00 90.00
Element x y z (fractional)
Ho (0.500, 0.500, 0.179)
Hg (0.500, 0.500, 0.500)
Ho (0.000, 0.000, 0.644)
Ho (0.000, 0.000, 0.356)
Ho (0.500, 0.500, 0.821)
Y (0.000, 0.000, 0.000)

## Properties
The total magnetization comes out at 0.000 μB per formula unit. As for the space-group type: No. 123. As for the density of states at the Fermi level: 8.64 states/eV per cell. Its formation energy is -0.14 eV per atom. For the excess energy over the best structure of this formula in the dataset, the calculation gives 0 meV per atom. Its crystal system is tetragonal.



(10)
ThCoSi: optimized geometry, PBE-GGA.

abc: 7.447 7.447 7.447
angles: 148.01 148.01 45.87
Element x y z (fractional)
Co (0.920, 0.420, 0.500)
Si (0.749, 0.249, 0.500)
Th (0.327, 0.827, 0.500)
Si (0.999, 0.999, 0.000)
Th (0.577, 0.577, 0.000)
Co (0.170, 0.170, 0.000)

## Properties
The total magnetization comes out at 0.000 μB per formula unit. As for the space-group type: No. 109. As for the density of states at the Fermi level: 6.40 states/eV per cell. Its formation energy from raw total energies is -0.71 eV per atom. Its crystal system is tetragonal.



(11)
NdEr3Al4: optimized geometry, PBE-GGA.

abc: 5.086 7.269 10.171
angles: 90.00 90.00 90.00
Element x y z (fractional)
Al (0.999, 0.241, 0.250)
Er (0.501, 0.000, 0.750)
Nd (0.000, 0.500, 0.500)
Er (0.501, 0.500, 0.750)
Al (0.500, 0.759, 0.500)
Al (0.500, 0.759, 0.000)
Al (0.500, 0.241, 0.000)
Er (0.000, 0.000, 0.500)
Er (0.000, 0.000, 0.000)
Al (0.001, 0.241, 0.750)
Al (0.500, 0.241, 0.500)
Er (0.499, 0.000, 0.250)
Nd (0.000, 0.500, 0.000)
Al (0.999, 0.759, 0.250)
Al (0.001, 0.759, 0.750)
Er (0.499, 0.500, 0.250)

## Properties
The total magnetization comes out at 0.000 μB per formula unit. As for the space-group type: No. 51. As for the density of states at the Fermi level: 6.10 states/eV per cell. Its formation energy is -0.38 eV per atom. Its crystal system is orthorhombic.



(12)
AlOsRu2: optimized geometry, PBE-GGA.

abc: 2.838 2.838 6.889
angles: 90.00 90.00 90.00
Element x y z (fractional)
Os (0.500, 0.500, 0.741)
Al (0.000, 0.000, 0.496)
Ru (0.500, 0.500, 0.265)
Ru (0.000, 0.000, 0.998)

## Properties
The total magnetization comes out at 0.000 μB per formula unit. As for the space-group type: No. 99. As for the density of states at the Fermi level: 3.61 states/eV per cell. Its formation energy is -0.13 eV per atom. Its crystal system is tetragonal.



(13)
RbTlHgBi2: optimized geometry, PBE-GGA.

abc: 6.382 6.312 6.382
angles: 90.00 90.00 90.00
Last column: magnetic moment on the atom in μB.
Element x y z (fractional)
Rb (0.000, 0.000, 0.000)  0.03
Bi (0.000, 0.000, 0.500)  0.36
Tl (0.500, 0.500, 0.500)  0.00
Hg (0.000, 0.500, 0.000)  0.01
Bi (0.500, 0.000, 0.000)  0.22

## Properties
The total magnetization comes out at 0.968 μB per formula unit. As for the space-group type: No. 123. As for the density of states at the Fermi level: 5.60 states/eV per cell. Its formation energy is 0.74 eV per atom. For the excess energy over the best structure of this formula in the dataset, the calculation gives 902 meV per atom. Its crystal system is tetragonal.



(14)
SmPuIr: optimized geometry, PBE-GGA.

abc: 3.509 8.848 10.268
angles: 90.00 90.00 90.00
Last column: magnetic moment on the atom in μB.
Element x y z (fractional)
Ir (0.503, 0.615, 0.500)  -0.26
Sm (0.007, 0.615, 0.250)  0.12
Pu (0.000, 0.366, 0.000)  5.13
Ir (0.497, 0.116, 0.000)  -0.26
Ir (0.503, 0.616, 0.000)  -0.26
Ir (0.497, 0.115, 0.500)  -0.26
Sm (0.007, 0.615, 0.750)  0.12
Pu (0.000, 0.866, 0.000)  5.13
Pu (0.000, 0.365, 0.500)  5.13
Sm (0.993, 0.115, 0.750)  0.12
Sm (0.993, 0.115, 0.250)  0.12
Pu (0.000, 0.865, 0.500)  5.13

## Properties
The total magnetization comes out at 5.302 μB per formula unit. As for the space-group type: No. 51. As for the density of states at the Fermi level: 32.43 states/eV per cell. Its formation energy is -0.29 eV per atom. For the excess energy over the best structure of this formula in the dataset, the calculation gives 229 meV per atom. Its crystal system is orthorhombic.



(15)
Cr2NiSb: optimized geometry, PBE-GGA.

abc: 6.101 4.478 3.046
angles: 89.95 60.13 120.78
Last column: magnetic moment on the atom in μB.
Element x y z (fractional)
Cr (0.000, 0.000, 0.000)  2.01
Ni (0.000, 0.500, 0.500)  0.17
Sb (0.500, 0.500, 0.000)  -0.09
Cr (0.500, 0.000, 0.500)  2.01

## Properties
The total magnetization comes out at 4.309 μB per formula unit. As for the space-group type: No. 65. As for the density of states at the Fermi level: 4.63 states/eV per cell. Its formation energy from raw total energies is 0.36 eV per atom. Its crystal system is orthorhombic.



(16)
SrLa3S: optimized geometry, PBE-GGA.

abc: 5.794 5.794 5.794
angles: 90.00 90.00 90.00
Element x y z (fractional)
La (0.000, 0.500, 0.000)
La (0.500, 0.000, 0.000)
La (0.000, 0.000, 0.500)
Sr (0.000, 0.000, 0.000)
S (0.500, 0.500, 0.500)

## Properties
The total magnetization comes out at 0.000 μB per formula unit. As for the space-group type: No. 221. As for the density of states at the Fermi level: 9.76 states/eV per cell. For the excess energy over the best structure of this formula in the dataset, the calculation gives 1607 meV per atom. Its formation energy from raw total energies is 0.88 eV per atom. Its crystal system is cubic.



(17)
TlCd2Cu: optimized geometry, PBE-GGA.

abc: 4.987 4.987 4.987
angles: 60.00 60.00 60.00
Element x y z (fractional)
Tl (0.250, 0.250, 0.250)
Cd (0.750, 0.750, 0.750)
Cu (0.500, 0.500, 0.500)
Cd (0.000, 0.000, 0.000)

## Properties
The total magnetization comes out at 0.000 μB per formula unit. As for the space-group type: No. 216. As for the density of states at the Fermi level: 1.66 states/eV per cell. Its formation energy is 0.25 eV per atom. For the excess energy over the best structure of this formula in the dataset, the calculation gives 159 meV per atom. Its crystal system is cubic.



(18)
PrSmHo3Th: optimized geometry, PBE-GGA.

abc: 5.634 10.292 7.069
angles: 89.51 90.00 105.89
Element x y z (fractional)
Ho (0.779, 0.558, 0.754)
Ho (0.842, 0.684, 0.256)
Ho (0.221, 0.442, 0.246)
Pr (0.354, 0.708, 0.959)
Sm (0.649, 0.298, 0.464)
Ho (0.477, 0.953, 0.254)
Sm (0.351, 0.702, 0.536)
Pr (0.646, 0.292, 0.041)
Th (0.054, 0.108, 0.270)
Ho (0.158, 0.316, 0.744)
Ho (0.523, 0.047, 0.746)
Th (0.946, 0.892, 0.730)

## Properties
The total magnetization comes out at 0.000 μB per formula unit. As for the space-group type: No. 12. As for the density of states at the Fermi level: 16.59 states/eV per cell. Its formation energy is 0.22 eV per atom. Its crystal system is monoclinic.



(19)
Th6NiSe3S2: optimized geometry, PBE-GGA.

abc: 7.084 7.084 7.384
angles: 99.16 99.16 120.12
Element x y z (fractional)
Th (0.747, 0.747, 0.228)
Th (0.077, 0.405, 0.226)
Th (0.923, 0.595, 0.774)
Ni (0.000, 0.000, 0.000)
S (0.333, 0.667, 0.000)
Th (0.253, 0.253, 0.772)
Se (0.168, 0.832, 0.500)
Th (0.405, 0.077, 0.226)
Se (0.500, 0.500, 0.500)
Th (0.595, 0.923, 0.774)
Se (0.832, 0.168, 0.500)
S (0.667, 0.333, 0.000)

## Properties
The total magnetization comes out at 0.000 μB per formula unit. As for the space-group type: No. 12. As for the density of states at the Fermi level: 10.22 states/eV per cell. Its formation energy from raw total energies is -1.46 eV per atom. Its crystal system is monoclinic.



(20)
KYW: optimized geometry, PBE-GGA.

abc: 5.275 5.275 5.275
angles: 60.00 60.00 60.00
Last column: magnetic moment on the atom in μB.
Element x y z (fractional)
Y (0.000, 0.000, 0.000)  0.19
W (0.750, 0.750, 0.750)  2.33
K (0.500, 0.500, 0.500)  0.03

## Properties
The total magnetization comes out at 3.562 μB per formula unit. As for the space-group type: No. 216. As for the density of states at the Fermi level: 5.41 states/eV per cell. Its formation energy is 1.96 eV per atom. For the excess energy over the best structure of this formula in the dataset, the calculation gives 927 meV per atom. Its crystal system is cubic.